1.
# PBE PmYSi2, relaxed
# - Polymorph energy (0 for the lowest one): 0 meV/atom
# - Crystal system: orthorhombic
data_PmYSi2
_cell_length_a 3.887
_cell_length_b 5.788
_cell_length_c 8.055
_cell_angle_alpha 90.00
_cell_angle_beta 90.00
_cell_angle_gamma 90.00
_symmetry_space_group_name_H-M 'P m c 21'
_symmetry_Int_Tables_number 26
loop_
_symmetry_equiv_pos_as_xyz
'x,y,z'
'-x,-y,z+1/2'
'-x,y,z'
'x,-y,z+1/2'
loop_
_atom_site_label
_atom_site_fract_x
_atom_site_fract_y
_atom_site_fract_z
Pm1 0.000 0.135 0.000
Y1 0.500 0.365 0.360
Si1 0.000 0.378 0.643
Si2 0.500 0.127 0.716


2.
# PBE Pm2Y3Si4, relaxed
# - Crystal system: monoclinic
data_Pm2Y3Si4
_cell_length_a 7.733
_cell_length_b 7.783
_cell_length_c 7.492
_cell_angle_alpha 90.00
_cell_angle_beta 106.64
_cell_angle_gamma 90.00
_symmetry_space_group_name_H-M 'P 1 21/c 1'
_symmetry_Int_Tables_number 14
loop_
_symmetry_equiv_pos_as_xyz
'x,y,z'
'-x,-y,-z'
'-x,y+1/2,-z+1/2'
'x,-y+1/2,z+1/2'
loop_
_atom_site_label
_atom_site_fract_x
_atom_site_fract_y
_atom_site_fract_z
Pm1 0.199 0.179 0.086
Y1 0.244 0.681 0.253
Y2 0.500 0.000 0.500
Si1 0.080 0.530 0.878
Si2 0.493 0.118 0.877


3.
# PBE PmYSi2, relaxed
# - Polymorph energy (0 for the lowest one): 2 meV/atom
# - Crystal system: orthorhombic
data_PmYSi2
_cell_length_a 3.883
_cell_length_b 4.361
_cell_length_c 10.718
_cell_angle_alpha 90.00
_cell_angle_beta 90.00
_cell_angle_gamma 90.00
_symmetry_space_group_name_H-M 'A m m 2'
_symmetry_Int_Tables_number 38
loop_
_symmetry_equiv_pos_as_xyz
'x,y,z'
'-x,-y,z'
'-x,y,z'
'x,-y,z'
'x,y+1/2,z+1/2'
'-x,-y+1/2,z+1/2'
'-x,y+1/2,z+1/2'
'x,-y+1/2,z+1/2'
loop_
_atom_site_label
_atom_site_fract_x
_atom_site_fract_y
_atom_site_fract_z
Pm1 0.000 0.000 0.000
Y1 0.500 0.000 0.720
Si1 0.000 0.000 0.284
Si2 0.500 0.000 0.433


4.
# PBE Pm2YSi, relaxed
# - Polymorph energy (0 for the lowest one): 0 meV/atom
# - Crystal system: tetragonal
data_Pm2YSi
_cell_length_a 4.678
_cell_length_b 4.678
_cell_length_c 4.800
_cell_angle_alpha 90.00
_cell_angle_beta 90.00
_cell_angle_gamma 90.00
_symmetry_space_group_name_H-M 'P 4/m m m'
_symmetry_Int_Tables_number 123
_symmetry_space_group_name_Hall '-P 4 2'
loop_
_atom_site_label
_atom_site_fract_x
_atom_site_fract_y
_atom_site_fract_z
Pm1 0.000 0.500 0.000
Y1 0.000 0.000 0.500
Si1 0.500 0.500 0.500


5.
# PBE PmY2Si2, relaxed
# - Crystal system: orthorhombic
data_PmY2Si2
_cell_length_a 4.390
_cell_length_b 6.404
_cell_length_c 8.675
_cell_angle_alpha 90.00
_cell_angle_beta 90.00
_cell_angle_gamma 90.00
_symmetry_space_group_name_H-M 'I m m m'
_symmetry_Int_Tables_number 71
_symmetry_space_group_name_Hall '-I 2 2'
loop_
_atom_site_label
_atom_site_fract_x
_atom_site_fract_y
_atom_site_fract_z
Pm1 0.000 0.000 0.000
Y1 0.000 0.500 0.199
Si1 0.000 0.192 0.500


6.
# PBE Pm8YSi6, relaxed
# - Crystal system: trigonal
data_Pm8YSi6
_cell_length_a 8.7467
_cell_length_b 8.7467
_cell_length_c 18.6082
_cell_angle_alpha 90.00
_cell_angle_beta 90.00
_cell_angle_gamma 120.00
_symmetry_space_group_name_H-M 'R -3'
_symmetry_Int_Tables_number 148
_symmetry_space_group_name_Hall '-R 3'
loop_
_atom_site_label
_atom_site_fract_x
_atom_site_fract_y
_atom_site_fract_z
Pm1 0.0000 0.0000 0.1661
Pm2 0.0008 0.3359 0.3959
Y1 0.0000 0.0000 0.5000
Si1 0.0002 0.3292 0.5671


7.
# PBE Pm2YSi2, relaxed
# - Polymorph energy (0 for the lowest one): 191 meV/atom
# - Crystal system: monoclinic
data_Pm2YSi2
_cell_length_a 5.863
_cell_length_b 4.012
_cell_length_c 11.430
_cell_angle_alpha 90.00
_cell_angle_beta 92.76
_cell_angle_gamma 90.00
_symmetry_space_group_name_H-M 'P 1 21/m 1'
_symmetry_Int_Tables_number 11
loop_
_symmetry_equiv_pos_as_xyz
'x,y,z'
'-x,-y,-z'
'-x,y+1/2,-z'
'x,-y+1/2,z'
loop_
_atom_site_label
_atom_site_fract_x
_atom_site_fract_y
_atom_site_fract_z
Pm1 0.103 0.250 0.372
Pm2 0.250 0.250 0.062
Y1 0.391 0.250 0.715
Si1 0.244 0.750 0.873
Si2 0.380 0.750 0.522


8.
# PBE PmYSi, relaxed
# - Polymorph energy (0 for the lowest one): 9 meV/atom
# - Crystal system: orthorhombic
data_PmYSi
_cell_length_a 4.334
_cell_length_b 6.468
_cell_length_c 11.617
_cell_angle_alpha 90.00
_cell_angle_beta 90.00
_cell_angle_gamma 90.00
_symmetry_space_group_name_H-M 'I m m m'
_symmetry_Int_Tables_number 71
_symmetry_space_group_name_Hall '-I 2 2'
loop_
_atom_site_label
_atom_site_fract_x
_atom_site_fract_y
_atom_site_fract_z
Pm1 0.000 0.000 0.209
Y1 0.000 0.243 0.500
Si1 0.000 0.500 0.116


| no. | uncorrected formation energy (eV per atom) |
| --- | --- |
| 1 | -0.81 |
| 2 | -0.78 |
| 3 | -0.81 |
| 4 | -0.25 |
| 5 | -0.61 |
| 6 | -0.52 |
| 7 | -0.52 |
| 8 | -0.47 |